No. 1
{"formula": "Mg2TlCd", "functional": "GGA-PBE", "state": "relaxed", "cell": [[-1.513, -5.189, 1.055], [-0.046, -4.491, -3.186], [3.473, -2.869, 0.730]], "species": ["Tl", "Mg", "Mg", "Cd"], "fractional_positions": [[0.750, 0.750, 0.750], [0.000, 0.000, 0.000], [0.500, 0.500, 0.500], [0.250, 0.250, 0.250]], "ef_ev_per_atom": -0.043, "sg": "Immm, No. 71", "crystal_system": "orthorhombic"}

No. 2
{"formula": "BaCuAs2Br", "functional": "GGA-PBE", "state": "relaxed", "cell": [[-4.606, 0.751, -0.246], [-0.703, -4.558, -0.756], [-0.493, -0.968, 6.293]], "species": ["As", "As", "Cu", "Ba", "Br"], "fractional_positions": [[0.000, 0.500, 0.000], [0.500, 0.000, 0.000], [0.000, 0.000, 0.000], [0.500, 0.500, 0.500], [0.000, 0.000, 0.500]], "formation_energy_uncorrected_ev_per_atom": -0.466, "sg": "P4/mmm, No. 123", "crystal_system": "tetragonal", "polymorph_energy_kcal_per_mol_atoms": 0.00}

Number 1: DOS(E_F) 1.505 states/eV/f.u., size of the total moment 0.0 μB per cell. Number 2: DOS(E_F) 5.520 states/eV/f.u., size of the total moment 0.7 μB per cell.